Entry from Alexandria via LeMat-Bulk: a PBEsol-optimized structure of CdFeNi6 (meta-GGA SCAN).

Summary:
density: 9.4 Mg/m³
calculated volume: 11.44 Å³ per atom
space group: Cmmm (65)
total magnetic moment: 6.6 μB/f.u.
DFT total energy: -18.183 eV per atom
formation enthalpy at 0 K: 0.1 eV per formula unit

a = 6.1864 Å, b = 6.1864 Å, c = 10.1647 Å
α = 90.00°, β = 90.00°, γ = 109.73°
Closest atoms and distances in Å follow each position.
Sites, in units of the cell vectors:
Cd  0.0000  0.0000  0.2476  12 Ni 2.52-2.60
Cd  0.0000  0.0000  0.7524  12 Ni 2.52-2.60
Cd  0.2445  0.7555  0.5000  12 Ni 2.47-2.65
Cd  0.7555  0.2445  0.5000  12 Ni 2.47-2.65
Fe  0.2478  0.7522  0.0000  12 Ni 2.43-2.55
Fe  0.5000  0.5000  0.2472  12 Ni 2.43-2.57
Fe  0.5000  0.5000  0.7528  12 Ni 2.43-2.57
Fe  0.7522  0.2478  0.0000  12 Ni 2.43-2.55
Ni  0.0000  0.0000  0.0000  2 Fe 2.51, 2 Cd 2.52, 8 Ni 2.55
Ni  0.0000  0.0000  0.5000  4 Cd 2.47-2.57, 8 Ni 2.61
Ni  0.1302  0.3859  0.1186  8 Ni 2.41-2.59, 3 Fe 2.45-2.52, 1 Cd 2.60
Ni  0.1302  0.3859  0.8814  8 Ni 2.41-2.59, 3 Fe 2.45-2.52, 1 Cd 2.60
Ni  0.1395  0.3841  0.3672  1 Fe 2.43, 8 Ni 2.47-2.70, 3 Cd 2.55-2.61
Ni  0.1395  0.3841  0.6328  1 Fe 2.43, 8 Ni 2.47-2.70, 3 Cd 2.55-2.61
Ni  0.2557  0.7443  0.2392  8 Ni 2.42-2.64, 2 Fe 2.43-2.47, 2 Cd 2.59-2.65
Ni  0.2557  0.7443  0.7608  8 Ni 2.42-2.64, 2 Fe 2.43-2.47, 2 Cd 2.59-2.65
Ni  0.3841  0.1395  0.3672  1 Fe 2.43, 8 Ni 2.47-2.70, 3 Cd 2.55-2.61
Ni  0.3841  0.1395  0.6328  1 Fe 2.43, 8 Ni 2.47-2.70, 3 Cd 2.55-2.61
Ni  0.3859  0.1302  0.1186  8 Ni 2.41-2.59, 3 Fe 2.45-2.52, 1 Cd 2.60
Ni  0.3859  0.1302  0.8814  8 Ni 2.41-2.59, 3 Fe 2.45-2.52, 1 Cd 2.60
Ni  0.5000  0.5000  0.0000  8 Ni 2.47, 4 Fe 2.51-2.55
Ni  0.5000  0.5000  0.5000  8 Ni 2.50, 2 Fe 2.57, 2 Cd 2.59
Ni  0.6141  0.8698  0.1186  8 Ni 2.41-2.59, 3 Fe 2.45-2.52, 1 Cd 2.60
Ni  0.6141  0.8698  0.8814  8 Ni 2.41-2.59, 3 Fe 2.45-2.52, 1 Cd 2.60
Ni  0.6159  0.8605  0.3672  1 Fe 2.43, 8 Ni 2.47-2.70, 3 Cd 2.55-2.61
Ni  0.6159  0.8605  0.6328  1 Fe 2.43, 8 Ni 2.47-2.70, 3 Cd 2.55-2.61
Ni  0.7443  0.2557  0.2392  8 Ni 2.42-2.64, 2 Fe 2.43-2.47, 2 Cd 2.59-2.65
Ni  0.7443  0.2557  0.7608  8 Ni 2.42-2.64, 2 Fe 2.43-2.47, 2 Cd 2.59-2.65
Ni  0.8605  0.6159  0.3672  1 Fe 2.43, 8 Ni 2.47-2.70, 3 Cd 2.55-2.61
Ni  0.8605  0.6159  0.6328  1 Fe 2.43, 8 Ni 2.47-2.70, 3 Cd 2.55-2.61
Ni  0.8698  0.6141  0.1186  8 Ni 2.41-2.59, 3 Fe 2.45-2.52, 1 Cd 2.60
Ni  0.8698  0.6141  0.8814  8 Ni 2.41-2.59, 3 Fe 2.45-2.52, 1 Cd 2.60